Here is a relaxed structure of Na4HoHg5 from Alexandria. Energies are from GGA-PBE.

Unit cell a=3.736 b=3.736 c=18.461 alpha=90.00 beta=90.00 gamma=90.00
Space group P4/mmm (No. 123)
One atom of each set of equivalent atoms:
Na  0.000  0.000  0.099 x2
Na  0.000  0.000  0.301 x2
Ho  0.000  0.000  0.500 x1
Hg  0.500  0.500  0.000 x1
Hg  0.500  0.500  0.197 x2
Hg  0.500  0.500  0.405 x2

Properties
**Formation energy**: -0.27 eV per atom
**E**: -1.41 eV/atom
**Density of states at the Fermi level**: 0.474 states/eV per atom


Here is a relaxed structure of Cd2C from Alexandria. Energies are from GGA-PBE.

Unit cell a=12.137 b=4.104 c=4.198 alpha=90.00 beta=90.00 gamma=90.00
Space group Pnma (No. 62)
One atom of each set of equivalent atoms:
Cd  0.040  0.250  0.240 x4
Cd  0.208  0.750  0.589 x4
C  0.126  0.250  0.746 x4

Properties
**Formation energy**: 1.09 eV per atom
**ΔE to the lowest computed polymorph**: 0.346 eV/atom
**E**: -2.59 eV/atom
**Density of states at the Fermi level**: 0.049 states/eV per atom


Here is a relaxed structure of KTmSnBr6 from Alexandria. Energies are from GGA-PBE.

Unit cell a=7.5253 b=7.5253 c=7.1576 alpha=90.00 beta=90.00 gamma=120.00
Space group P312 (No. 149)
One atom of each set of equivalent atoms:
K  0.0000  0.0000  0.0000 x1
Tm  0.6667  0.3333  0.5000 x1
Sn  0.3333  0.6667  0.5000 x1
Br  0.3769  0.0225  0.7257 x6

Properties
**E**: -3.68 eV/atom
**Density of states at the Fermi level**: 0.000 states/eV per atom
**Uncorrected formation energy**: -1498.1 meV per atom


Here is a relaxed structure of Tm2InOs from Alexandria. Energies are from GGA-PBE.

Unit cell a=3.391 b=3.391 c=7.885 alpha=90.00 beta=90.00 gamma=90.00
Space group P4/mmm (No. 123)
One atom of each set of equivalent atoms:
Tm  0.000  0.000  0.206 x2
In  0.500  0.500  0.500 x1
Os  0.500  0.500  0.000 x1

Properties
**Formation energy**: -0.42 eV per atom
**ΔE to the lowest computed polymorph**: 0.000 eV/atom
**E**: -6.15 eV/atom
**Density of states at the Fermi level**: 0.602 states/eV per atom


Here is a relaxed structure of BaAcCdGa from Alexandria. Energies are from GGA-PBE.

Unit cell a=8.159 b=8.159 c=8.159 alpha=90.00 beta=90.00 gamma=90.00
Space group F-43m (No. 216)
One atom of each set of equivalent atoms:
Ba  0.000  0.000  0.000 x4
Ac  0.000  0.000  0.500 x4
Cd  0.250  0.250  0.250 x4
Ga  0.250  0.250  0.750 x4

Properties
**Formation energy**: -0.31 eV per atom
**E**: -2.80 eV/atom
**Density of states at the Fermi level**: 0.797 states/eV per atom


Here is a relaxed structure of Rb3Hg8Au from Alexandria. Energies are from GGA-PBE.

Unit cell a=6.5168 b=6.5168 c=32.7374 alpha=90.00 beta=90.00 gamma=120.00
Space group R3m (No. 160, hexagonal axes)
One atom of each set of equivalent atoms:
Rb  0.0000  0.0000  0.0000 x3
Rb  0.0000  0.0000  0.1295 x3
Rb  0.0000  0.0000  0.6160 x3
Hg  0.0000  0.0000  0.3109 x3
Hg  0.0000  0.0000  0.8130 x3
Hg  0.0035  0.5017  0.5612 x9
Hg  0.1699  0.3398  0.3943 x9
Au  0.0000  0.0000  0.4653 x3

Properties
**Formation energy**: -0.16 eV per atom
**E**: -0.88 eV/atom
**Density of states at the Fermi level**: 0.378 states/eV per atom


Here is a relaxed structure of CdSn2P2 from Alexandria. Energies are from GGA-PBE.

Unit cell a=7.728 b=7.728 c=3.751 alpha=90.00 beta=90.00 gamma=90.00
Space group P4/mbm (No. 127)
One atom of each set of equivalent atoms:
Cd  0.000  0.000  0.000 x2
Sn  0.151  0.349  0.500 x4
P  0.167  0.667  0.000 x4

Properties
**Formation energy**: 0.20 eV per atom
**E**: -3.75 eV/atom
**Density of states at the Fermi level**: 0.388 states/eV per atom


Here is a relaxed structure of LiLaTh2S4 from Alexandria. Energies are from GGA-PBE.

Unit cell a=6.922 b=4.003 c=7.078 alpha=90.00 beta=108.74 gamma=90.00
Space group P2/m (No. 10)
One atom of each set of equivalent atoms:
Li  0.000  0.000  0.000 x1
La  0.500  0.500  0.000 x1
Th  0.000  0.500  0.500 x1
Th  0.500  0.000  0.500 x1
S  0.237  0.000  0.754 x2
S  0.237  0.500  0.243 x2

Properties
**E**: -6.59 eV/atom
**Density of states at the Fermi level**: 0.523 states/eV per atom
**Uncorrected formation energy**: -1813.2 meV per atom


Number 6 is which compound?
Rb3Hg8Au


Look up the density of states at the Fermi level of the seventh one.
0.388 states/eV per atom


Which of these has the lowest E?
LiLaTh2S4